No. 1
Compound: CaPm2AgHg4
Source: the Alexandria database
Functional: PBE
Structure: optimized geometry

The structure belongs to space group R-3m (No. 166, hexagonal axes); the cell edges are 5.2198, 5.2198 and 25.7662 Å and the angles 90.00°, 90.00° and 120.00°. The inequivalent atoms are Ca at (0.0000, 0.0000, 0.0000), Pm at (0.0000, 0.0000, 0.2447), Ag at (0.0000, 0.0000, 0.5000), Hg at (0.0000, 0.0000, 0.1241) and Hg at (0.0000, 0.0000, 0.3740).

The calculation puts the energy relative to the elements at -0.426 eV per atom.

---

No. 2
Compound: Ca2PrAgHg4
Source: the Alexandria database
Functional: PBE
Structure: optimized geometry

The structure belongs to space group R-3m (No. 166, hexagonal axes); the cell edges are 5.2072, 5.2072 and 26.7226 Å and the angles 90.00°, 90.00° and 120.00°. The inequivalent atoms are Ca at (0.0000, 0.0000, 0.2407), Pr at (0.0000, 0.0000, 0.0000), Ag at (0.0000, 0.0000, 0.5000), Hg at (0.0000, 0.0000, 0.1231) and Hg at (0.0000, 0.0000, 0.3775).

The calculation puts the energy relative to the elements at -0.407 eV per atom.

---

No. 3
Compound: Ca4Ag2HgPt
Source: the Alexandria database
Functional: PBE
Structure: optimized geometry

The structure belongs to space group R-3m (No. 166, hexagonal axes); the cell edges are 5.1977, 5.1977 and 25.3619 Å and the angles 90.00°, 90.00° and 120.00°. The inequivalent atoms are Ca at (0.0000, 0.0000, 0.1181), Ca at (0.0000, 0.0000, 0.3692), Ag at (0.0000, 0.0000, 0.2461), Hg at (0.0000, 0.0000, 0.5000) and Pt at (0.0000, 0.0000, 0.0000).

The calculation puts the energy relative to the elements at -0.518 eV per atom.

---

No. 4
Compound: CaPuAgHg
Source: the Alexandria database
Functional: PBE
Structure: optimized geometry

The structure belongs to space group F-43m (No. 216); the cell edges are 7.490, 7.490 and 7.490 Å and the angles 90.00°, 90.00° and 90.00°. The inequivalent atoms are Ca at (0.000, 0.000, 0.000), Pu at (0.000, 0.000, 0.500), Ag at (0.250, 0.250, 0.250) and Hg at (0.250, 0.250, 0.750).

The calculation puts the energy relative to the elements at -0.157 eV per atom.

---

No. 5
Compound: CaAgHg2Sb
Source: the Alexandria database
Functional: PBE
Structure: optimized geometry

The structure belongs to space group P4/mmm (No. 123); the cell edges are 5.212, 5.212 and 5.742 Å and the angles 90.00°, 90.00° and 90.00°. The inequivalent atoms are Ca at (0.000, 0.000, 0.000), Ag at (0.000, 0.000, 0.500), Hg at (0.000, 0.500, 0.500) and Sb at (0.500, 0.500, 0.000).

The uncorrected formation energy comes out at 0.072 eV per atom.

---

No. 6
Compound: SrCaAgHg
Source: the Alexandria database
Functional: PBE
Structure: optimized geometry

The structure belongs to space group F-43m (No. 216); the cell edges are 7.734, 7.734 and 7.734 Å and the angles 90.00°, 90.00° and 90.00°. The inequivalent atoms are Sr at (0.000, 0.000, 0.000), Ca at (0.000, 0.000, 0.500), Ag at (0.250, 0.250, 0.250) and Hg at (0.250, 0.250, 0.750).

The calculation puts the energy relative to the elements at -0.393 eV per atom.

---

No. 7
Compound: CaTb2AgHg4
Source: the Alexandria database
Functional: PBE
Structure: optimized geometry

The structure belongs to space group R-3m (No. 166, hexagonal axes); the cell edges are 5.1528, 5.1528 and 25.5025 Å and the angles 90.00°, 90.00° and 120.00°. The inequivalent atoms are Ca at (0.0000, 0.0000, 0.0000), Tb at (0.0000, 0.0000, 0.2445), Ag at (0.0000, 0.0000, 0.5000), Hg at (0.0000, 0.0000, 0.1242) and Hg at (0.0000, 0.0000, 0.3745).

The calculation puts the energy relative to the elements at -0.408 eV per atom.

---

No. 8
Compound: Ca3Tl2Ag2Hg4
Source: the Alexandria database
Functional: PBE
Structure: optimized geometry

The structure belongs to space group P-3m1 (No. 164); the cell edges are 4.9273, 4.9273 and 14.2869 Å and the angles 90.00°, 90.00° and 120.00°. The inequivalent atoms are Ca at (0.0000, 0.0000, 0.0000), Ca at (0.0000, 0.0000, 0.2524), Tl at (0.3333, 0.6667, 0.5696), Ag at (0.3333, 0.6667, 0.1322), Hg at (0.3333, 0.6667, 0.3488) and Hg at (0.3333, 0.6667, 0.8793).

The calculation puts the energy relative to the elements at -0.287 eV per atom.

---

No. 9
Compound: CaYAgHg
Source: the Alexandria database
Functional: PBE
Structure: optimized geometry

The structure belongs to space group P4mm (No. 99); the cell edges are 3.699, 3.699 and 7.504 Å and the angles 90.00°, 90.00° and 90.00°. The inequivalent atoms are Ca at (0.000, 0.000, 0.000), Y at (0.000, 0.000, 0.488), Ag at (0.500, 0.500, 0.261) and Hg at (0.500, 0.500, 0.734).

The calculation puts the energy relative to the elements at -0.419 eV per atom.

---

No. 10
Compound: CaY2AgHg4
Source: the Alexandria database
Functional: PBE
Structure: optimized geometry

The structure belongs to space group R-3m (No. 166, hexagonal axes); the cell edges are 5.1456, 5.1456 and 25.5067 Å and the angles 90.00°, 90.00° and 120.00°. The inequivalent atoms are Ca at (0.0000, 0.0000, 0.0000), Y at (0.0000, 0.0000, 0.2445), Ag at (0.0000, 0.0000, 0.5000), Hg at (0.0000, 0.0000, 0.1241) and Hg at (0.0000, 0.0000, 0.3746).

The calculation puts the energy relative to the elements at -0.411 eV per atom.

---

No. 11
Compound: CaYAgHg
Source: the Alexandria database
Functional: PBE
Structure: optimized geometry

The structure belongs to space group F-43m (No. 216); the cell edges are 7.404, 7.404 and 7.404 Å and the angles 90.00°, 90.00° and 90.00°. The inequivalent atoms are Ca at (0.000, 0.000, 0.000), Y at (0.000, 0.000, 0.500), Ag at (0.250, 0.250, 0.750) and Hg at (0.250, 0.250, 0.250).

The calculation puts the energy relative to the elements at -0.414 eV per atom.

---

No. 12
Compound: CaZn2Ag5Hg
Source: the Alexandria database
Functional: PBE
Structure: optimized geometry

The structure belongs to space group P4/mmm (No. 123); the cell edges are 4.951, 4.951 and 7.580 Å and the angles 90.00°, 90.00° and 90.00°. The inequivalent atoms are Ca at (0.000, 0.000, 0.000), Zn at (0.500, 0.500, 0.344), Ag at (0.000, 0.500, 0.246), Ag at (0.500, 0.500, 0.000) and Hg at (0.000, 0.000, 0.500).

The calculation puts the energy relative to the elements at 0.019 eV per atom.

---

No. 13
Compound: CaZnAgHg
Source: the Alexandria database
Functional: PBE
Structure: optimized geometry

The structure belongs to space group P4/nmm (No. 129, origin choice 2); the cell edges are 4.267, 4.267 and 10.141 Å and the angles 90.00°, 90.00° and 90.00°. The inequivalent atoms are Ca at (0.250, 0.250, 0.240), Zn at (0.250, 0.250, 0.657), Ag at (0.250, 0.750, 0.500) and Hg at (0.250, 0.250, 0.926).

The calculation puts the energy relative to the elements at -0.278 eV per atom.

---

No. 14
Compound: Ca4ZnAg2Hg
Source: the Alexandria database
Functional: PBE
Structure: optimized geometry

The structure belongs to space group R-3m (No. 166, hexagonal axes); the cell edges are 5.2579, 5.2579 and 25.9227 Å and the angles 90.00°, 90.00° and 120.00°. The inequivalent atoms are Ca at (0.0000, 0.0000, 0.1239), Ca at (0.0000, 0.0000, 0.3740), Zn at (0.0000, 0.0000, 0.0000), Ag at (0.0000, 0.0000, 0.2513) and Hg at (0.0000, 0.0000, 0.5000).

The calculation puts the energy relative to the elements at -0.341 eV per atom.

---

No. 15
Compound: CaZnAgHg
Source: the Alexandria database
Functional: PBE
Structure: optimized geometry

The structure belongs to space group F-43m (No. 216); the cell edges are 7.025, 7.025 and 7.025 Å and the angles 90.00°, 90.00° and 90.00°. The inequivalent atoms are Ca at (0.000, 0.000, 0.000), Zn at (0.000, 0.000, 0.500), Ag at (0.250, 0.250, 0.750) and Hg at (0.250, 0.250, 0.250).

The calculation puts the energy relative to the elements at -0.230 eV per atom.

---

No. 16
Compound: CaZrAgHg
Source: the Alexandria database
Functional: PBE
Structure: optimized geometry

The structure belongs to space group F-43m (No. 216); the cell edges are 7.184, 7.184 and 7.184 Å and the angles 90.00°, 90.00° and 90.00°. The inequivalent atoms are Ca at (0.000, 0.000, 0.000), Zr at (0.000, 0.000, 0.500), Ag at (0.250, 0.250, 0.250) and Hg at (0.250, 0.250, 0.750).

The calculation puts the energy relative to the elements at -0.123 eV per atom.

---

No. 17
Compound: CaHoAg6
Source: the Alexandria database
Functional: PBE
Structure: optimized geometry

The structure belongs to space group C2/m (No. 12); the cell edges are 9.610, 4.351 and 8.903 Å and the angles 90.00°, 117.56° and 90.00°. The inequivalent atoms are Ca at (0.000, 0.000, 0.000), Ho at (0.000, 0.000, 0.500), Ag at (0.001, 0.500, 0.746), Ag at (0.245, 0.000, 0.870) and Ag at (0.250, 0.000, 0.377).

The calculation puts the energy relative to the elements at -0.203 eV per atom.

---

No. 18
Compound: Ca2HoAg3
Source: the Alexandria database
Functional: PBE
Structure: optimized geometry

The structure belongs to space group P4/mmm (No. 123); the cell edges are 3.677, 3.677 and 11.077 Å and the angles 90.00°, 90.00° and 90.00°. The inequivalent atoms are Ca at (0.000, 0.000, 0.170), Ho at (0.000, 0.000, 0.500), Ag at (0.500, 0.500, 0.000) and Ag at (0.500, 0.500, 0.349).

The calculation puts the energy relative to the elements at -0.317 eV per atom.

---

No. 19
Compound: CaHo2Ag3
Source: the Alexandria database
Functional: PBE
Structure: optimized geometry

The structure belongs to space group P4/mmm (No. 123); the cell edges are 3.626, 3.626 and 11.086 Å and the angles 90.00°, 90.00° and 90.00°. The inequivalent atoms are Ca at (0.000, 0.000, 0.000), Ho at (0.000, 0.000, 0.335), Ag at (0.500, 0.500, 0.181) and Ag at (0.500, 0.500, 0.500).

The calculation puts the energy relative to the elements at -0.326 eV per atom.

---

No. 20
Compound: CaHo2Ag
Source: the Alexandria database
Functional: PBE
Structure: optimized geometry

The structure belongs to space group P4/mmm (No. 123); the cell edges are 3.612, 3.612 and 9.317 Å and the angles 90.00°, 90.00° and 90.00°. The inequivalent atoms are Ca at (0.000, 0.000, 0.000), Ho at (0.500, 0.500, 0.310) and Ag at (0.000, 0.000, 0.500).

The calculation puts the energy relative to the elements at -0.062 eV per atom.

---

The following ρ values (in g/cm3) correspond, in order, to the records above: 10.16, 8.98, 6.48, 9.37, 7.14, 6.26, 10.77, 8.55, 7.07, 9.61, 7.16, 8.14, 7.45, 5.15, 7.93, 7.88, 8.58, 6.30, 7.90, 6.53.